(1)
First-principles (GGA-PBE) data for an optimized crystal structure of LiAg2Rh, as listed in the Alexandria database.

Its formation energy is 35 meV/atom. The calculated density comes out at 8.65 Mg/m³.

It has space group Imm2 (No. 44), with a = 2.950 Å, b = 4.633 Å, c = 9.142 Å, α = 90.00°, β = 90.00° and γ = 90.00°. The inequivalent atoms are Li at (0.000, 0.000, 0.000), Ag at (0.000, 0.000, 0.493), Ag at (0.000, 0.500, 0.258) and Rh at (0.000, 0.500, 0.733).

(2)
First-principles (GGA-PBE) data for an optimized crystal structure of RbBCl, as listed in the Alexandria database.

The value obtained for the total energy is -3.48 eV per atom. The calculated density comes out at 2.31 Mg/m³.

It has space group P-1 (No. 2), with a = 5.131 Å, b = 5.940 Å, c = 7.036 Å, α = 92.83°, β = 109.38° and γ = 108.33°. The inequivalent atoms are Rb at (0.014, 0.249, 0.302), B at (0.437, 0.909, 0.407) and Cl at (0.440, 0.736, 0.189).

(3)
First-principles (GGA-PBE) data for an optimized crystal structure of CsErBO4, as listed in the Alexandria database.

The value obtained for the total energy is -7.00 eV per atom. The calculated density comes out at 5.61 Mg/m³.

It has space group P2_1/m (No. 11), with a = 5.237 Å, b = 5.593 Å, c = 7.895 Å, α = 90.00°, β = 106.39° and γ = 90.00°. The inequivalent atoms are Cs at (0.224, 0.250, 0.428), Er at (0.316, 0.750, 0.036), B at (0.140, 0.250, 0.850), O at (0.134, 0.750, 0.263), O at (0.140, 0.250, 0.040) and O at (0.299, 0.035, 0.833).

| no. | calculated volume (Å³/atom) |
| --- | --- |
| 1 | 15.6 |
| 2 | 31.5 |
| 3 | 15.8 |